--- i ---
This record from the Alexandria database describes a crystal of MgAsW relaxed with PBEsol. The functional is meta-GGA SCAN.

Results
The volume is 19.1 Å³/atom. The mass density is 8.2 Mg/m³. The density of states at the Fermi level comes out at 9.879 states/eV/cell.

Structure (POSCAR):
```
MgAsW
1.0
6.122 0.000 0.000
0.000 6.122 0.000
0.000 0.000 6.122
Mg As W
4 4 4
direct
0.000 0.000 0.000 Mg
0.000 0.500 0.500 Mg
0.500 0.000 0.500 Mg
0.500 0.500 0.000 Mg
0.250 0.250 0.250 As
0.250 0.750 0.750 As
0.750 0.250 0.750 As
0.750 0.750 0.250 As
0.250 0.250 0.750 W
0.250 0.750 0.250 W
0.750 0.250 0.250 W
0.750 0.750 0.750 W
```

--- ii ---
This record from the Alexandria database describes a crystal of MgAsW relaxed with PBEsol. The functional is meta-GGA SCAN.

Results
The volume is 17.6 Å³/atom. The mass density is 8.9 Mg/m³. The density of states at the Fermi level comes out at 1.966 states/eV/cell.

Structure (POSCAR):
```
MgAsW
1.0
3.109 0.000 0.000
-1.555 2.693 0.000
0.000 0.000 6.321
Mg As W
1 1 1
direct
0.000 0.000 0.000 Mg
0.667 0.333 0.363 As
0.333 0.667 0.639 W
```

List of relative energies, unit kJ/mol of atoms: i 117.1; ii 0.0